# Ho2Mg3Ag2

A relaxed Ho2Mg3Ag2 crystal (PBE, Alexandria).

Structure (CIF):
```
data_Ho2Mg3Ag2
_space_group_name_H-M_alt 'C 1 2/m 1'
_space_group_IT_number 12
_cell_length_a 10.828
_cell_length_b 3.979
_cell_length_c 7.796
_cell_angle_alpha 90.00
_cell_angle_beta 95.95
_cell_angle_gamma 90.00
loop_
_space_group_symop_operation_xyz
'x,y,z'
'-x,-y,-z'
'-x,y,-z'
'x,-y,z'
'x+1/2,y+1/2,z'
'-x+1/2,-y+1/2,-z'
'-x+1/2,y+1/2,-z'
'x+1/2,-y+1/2,z'
loop_
_atom_site_label
_atom_site_type_symbol
_atom_site_fract_x
_atom_site_fract_y
_atom_site_fract_z
Ho1 Ho 0.127 0.000 0.354
Mg1 Mg 0.000 0.500 0.000
Mg2 Mg 0.189 0.000 0.870
Ag1 Ag 0.089 0.500 0.648
```

The crystal system is monoclinic. The formation energy is -0.182 eV per atom.

# MgRhNF2

A relaxed MgRhNF2 crystal (PBE, Alexandria).

Structure (CIF):
```
data_MgRhNF2
_space_group_name_H-M_alt 'P 4/m m m'
_space_group_IT_number 123
_space_group_name_Hall '-P 4 2'
_cell_length_a 4.389
_cell_length_b 4.389
_cell_length_c 3.697
_cell_angle_alpha 90.00
_cell_angle_beta 90.00
_cell_angle_gamma 90.00
loop_
_atom_site_label
_atom_site_type_symbol
_atom_site_fract_x
_atom_site_fract_y
_atom_site_fract_z
Mg1 Mg 0.000 0.000 0.000
Rh1 Rh 0.500 0.500 0.500
N1 N 0.500 0.500 0.000
F1 F 0.000 0.500 0.500
```

As for the formation energy from raw total energies: -64.9 kJ/mol of atoms. The crystal system is tetragonal.

# MgAlNi2

A relaxed MgAlNi2 crystal (PBE, Alexandria).

Structure (CIF):
```
data_MgAlNi2
_space_group_name_H-M_alt 'F m -3 m'
_space_group_IT_number 225
_space_group_name_Hall '-F 4 2 3'
_cell_length_a 5.914
_cell_length_b 5.914
_cell_length_c 5.914
_cell_angle_alpha 90.00
_cell_angle_beta 90.00
_cell_angle_gamma 90.00
loop_
_atom_site_label
_atom_site_type_symbol
_atom_site_fract_x
_atom_site_fract_y
_atom_site_fract_z
Mg1 Mg 0.000 0.000 0.000
Al1 Al 0.000 0.000 0.500
Ni1 Ni 0.250 0.250 0.250
```

The crystal system is cubic. The formation energy is -0.422 eV per atom.